VASP calculation (GGA-PBE) on CeDyZnAg after structural relaxation.

Results
DFT total energy = -3.86 eV per atom
energy above the most stable polymorph in this dataset = 29 meV/atom
total magnetization = 0.271 μB per atom
calculated formation energy = -0.19 eV per atom
space-group type = No. 216

The structure in POSCAR format:
```
CeDyZnAg
1.0
0.0000 3.6535 3.6535
3.6535 0.0000 3.6535
3.6535 3.6535 0.0000
Ce Dy Zn Ag
1 1 1 1
Direct
0.0000 0.0000 0.0000
0.5000 0.5000 0.5000
0.2500 0.2500 0.2500
0.7500 0.7500 0.7500
```

=====

VASP calculation (GGA-PBE) on CeEr3Ag4 after structural relaxation.

Results
DFT total energy = -4.13 eV per atom
total magnetization = 0.131 μB per atom
calculated formation energy = -0.25 eV per atom
space-group type = No. 123

The structure in POSCAR format:
```
CeEr3Ag4
1.0
5.1411 0.0000 0.0000
0.0000 5.1411 0.0000
0.0000 0.0000 7.2943
Ce Er Ag
1 3 4
Direct
0.0000 0.0000 0.0000
0.0000 0.0000 0.5000
0.5000 0.5000 0.0000
0.5000 0.5000 0.5000
0.0000 0.5000 0.2616
0.0000 0.5000 0.7384
0.5000 0.0000 0.2616
0.5000 0.0000 0.7384
```

=====

VASP calculation (GGA-PBE) on Ce2ErAg after structural relaxation.

Results
DFT total energy = -4.76 eV per atom
energy above the most stable polymorph in this dataset = 0 meV/atom
total magnetization = 0.427 μB per atom
calculated formation energy = 0.06 eV per atom
space-group type = No. 123

The structure in POSCAR format:
```
Ce2ErAg
1.0
3.3556 0.0000 0.0000
0.0000 3.3556 0.0000
0.0000 0.0000 9.7457
Ce Er Ag
2 1 1
Direct
0.0000 0.0000 0.2276
0.0000 0.0000 0.7724
0.5000 0.5000 0.5000
0.5000 0.5000 0.0000
```

=====

Question: The lowest calculated formation energy belongs to which entry?
Answer: CeEr3Ag4